An optimized crystal structure of Pr6Te3Ir2Se. Source: Alexandria, functional PBE-GGA.

- E_tot: -6.19 eV/atom
- Total moment: 0.000 μB per cell
- Space-group type: No. 12

Cell lengths 9.996, 9.996, 9.057 Å; angles 106.11, 106.11, 24.86 degrees
Sites, in units of the cell vectors:
Pr  0.016  0.016  0.248
Pr  0.324  0.324  0.436
Pr  0.332  0.332  0.877
Pr  0.668  0.668  0.123
Pr  0.676  0.676  0.564
Pr  0.984  0.984  0.752
Te  0.160  0.160  0.841
Te  0.500  0.500  0.500
Te  0.840  0.840  0.159
Ir  0.168  0.168  0.337
Ir  0.832  0.832  0.663
Se  0.500  0.500  0.000